Below is CaCo2O2 after structural relaxation, with properties calculated at the PBE with a Hubbard U level.

```
CaCo2O2
1.0
-1.6592 1.6592 5.5552
1.6592 -1.6592 5.5552
1.6592 1.6592 -5.5552
Ca Co O
1 2 2
Direct
0.0000 0.0000 0.0000
0.2500 0.7500 0.5000
0.7500 0.2500 0.5000
0.3791 0.3791 0.0000
0.6209 0.6209 0.0000
```

Summary:
The energy above the most stable polymorph in this dataset comes out at 201 meV per atom. The value obtained for the density of states at the Fermi level is 0.66 states/eV/atom.